{
  "formula": "Pr3Y3In",
  "functional": "PBE-GGA",
  "state": "relaxed",
  "space_group": "P6_3/m, No. 176",
  "delta_e_f_mev_per_atom": -111,
  "dos_at_fermi_per_ev_cell": 21.39,
  "cell": [[9.5831, 0.0000, 0.0000], [-4.7915, 8.2992, 0.0000], [0.0000, 0.0000, 5.6953]],
  "species": ["Pr", "Pr", "Pr", "Pr", "Pr", "Pr", "Y", "Y", "Y", "Y", "Y", "Y", "In", "In"],
  "frac_coords": [[0.1057, 0.6285, 0.2500], [0.3715, 0.4772, 0.2500], [0.4772, 0.1057, 0.7500], [0.5228, 0.8943, 0.2500], [0.6285, 0.5228, 0.7500], [0.8943, 0.3715, 0.7500], [0.0605, 0.8219, 0.7500], [0.1781, 0.2386, 0.7500], [0.2386, 0.0605, 0.2500], [0.7614, 0.9395, 0.7500], [0.8219, 0.7614, 0.2500], [0.9395, 0.1781, 0.2500], [0.3333, 0.6667, 0.7500], [0.6667, 0.3333, 0.2500]]
}

***

{
  "formula": "Pr2YIn2",
  "functional": "PBE-GGA",
  "state": "relaxed",
  "space_group": "Immm, No. 71",
  "delta_e_f_mev_per_atom": -394,
  "dos_at_fermi_per_ev_cell": 4.58,
  "cell": [[-2.5314, 3.5520, 4.2804], [2.5314, -3.5520, 4.2804], [2.5314, 3.5520, -4.2804]],
  "species": ["Pr", "Pr", "Y", "In", "In"],
  "frac_coords": [[0.1929, 0.1929, 0.0000], [0.8071, 0.8071, 0.0000], [0.5000, 0.0000, 0.5000], [0.2120, 0.5000, 0.7120], [0.7880, 0.5000, 0.2880]]
}

***

{
  "formula": "Pr2YIn",
  "functional": "PBE-GGA",
  "state": "relaxed",
  "space_group": "R3m, No. 160",
  "delta_e_f_mev_per_atom": -113,
  "dos_at_fermi_per_ev_cell": 5.62,
  "cell": [[1.8602, 1.0740, 11.1221], [-1.8602, 1.0740, 11.1221], [0.0000, -2.1480, 11.1221]],
  "species": ["Pr", "Pr", "Y", "In"],
  "frac_coords": [[0.0000, 0.0000, 0.0000], [0.1769, 0.1769, 0.1769], [0.4219, 0.4219, 0.4219], [0.5882, 0.5882, 0.5882]]
}

***

{
  "formula": "Pr6Y2In",
  "functional": "PBE-GGA",
  "state": "relaxed",
  "space_group": "P4_2/mnm, No. 136",
  "delta_e_f_mev_per_atom": -68,
  "dos_at_fermi_per_ev_cell": 26.15,
  "cell": [[11.0378, 0.0000, 0.0000], [0.0000, 11.0378, 0.0000], [0.0000, 0.0000, 4.9738]],
  "species": ["Pr", "Pr", "Pr", "Pr", "Pr", "Pr", "Pr", "Pr", "Pr", "Pr", "Pr", "Pr", "Y", "Y", "Y", "Y", "In", "In"],
  "frac_coords": [[0.0097, 0.3331, 0.0000], [0.1589, 0.1589, 0.5000], [0.1669, 0.5097, 0.5000], [0.3331, 0.0097, 0.0000], [0.3411, 0.6589, 0.0000], [0.4903, 0.8331, 0.5000], [0.5097, 0.1669, 0.5000], [0.6589, 0.3411, 0.0000], [0.6669, 0.9903, 0.0000], [0.8331, 0.4903, 0.5000], [0.8411, 0.8411, 0.5000], [0.9903, 0.6669, 0.0000], [0.1589, 0.8411, 0.5000], [0.3411, 0.3411, 0.0000], [0.6589, 0.6589, 0.0000], [0.8411, 0.1589, 0.5000], [0.0000, 0.0000, 0.0000], [0.5000, 0.5000, 0.5000]]
}

***

{
  "formula": "Pr8YIn2",
  "functional": "PBE-GGA",
  "state": "relaxed",
  "space_group": "C2/m, No. 12",
  "delta_e_f_mev_per_atom": -67,
  "dos_at_fermi_per_ev_cell": 14.87,
  "cell": [[4.5527, -7.8773, 0.0000], [4.5527, 7.8773, 0.0000], [-2.7710, 0.0000, 5.2661]],
  "species": ["Pr", "Pr", "Pr", "Pr", "Pr", "Pr", "Pr", "Pr", "Y", "In", "In"],
  "frac_coords": [[0.0933, 0.3236, 0.6267], [0.2179, 0.7821, 0.0000], [0.3236, 0.0933, 0.6267], [0.4089, 0.4089, 0.2068], [0.5911, 0.5911, 0.7932], [0.6764, 0.9067, 0.3733], [0.7821, 0.2179, 0.0000], [0.9067, 0.6764, 0.3733], [0.0000, 0.0000, 0.0000], [0.3063, 0.6937, 0.5000], [0.6937, 0.3063, 0.5000]]
}

***

{
  "formula": "Pr5YIn3",
  "functional": "PBE-GGA",
  "state": "relaxed",
  "space_group": "I4/mcm, No. 140",
  "delta_e_f_mev_per_atom": -140,
  "dos_at_fermi_per_ev_cell": 14.17,
  "cell": [[-4.4481, 4.4481, 7.2475], [4.4481, -4.4481, 7.2475], [4.4481, 4.4481, -7.2475]],
  "species": ["Pr", "Pr", "Pr", "Pr", "Pr", "Pr", "Pr", "Pr", "Pr", "Pr", "Y", "Y", "In", "In", "In", "In", "In", "In"],
  "frac_coords": [[0.0000, 0.0000, 0.0000], [0.0731, 0.5731, 0.9156], [0.1576, 0.0731, 0.5000], [0.3424, 0.8424, 0.9156], [0.4269, 0.3424, 0.5000], [0.5000, 0.5000, 0.0000], [0.5731, 0.6576, 0.5000], [0.6576, 0.1576, 0.0844], [0.8424, 0.9269, 0.5000], [0.9269, 0.4269, 0.0844], [0.2500, 0.7500, 0.5000], [0.7500, 0.2500, 0.5000], [0.1077, 0.3923, 0.5000], [0.2500, 0.2500, 0.0000], [0.3923, 0.8923, 0.2846], [0.6077, 0.1077, 0.7154], [0.7500, 0.7500, 0.0000], [0.8923, 0.6077, 0.5000]]
}

***

{
  "formula": "PrYIn3",
  "functional": "PBE-GGA",
  "state": "relaxed",
  "space_group": "I-4m2, No. 119",
  "delta_e_f_mev_per_atom": 112,
  "dos_at_fermi_per_ev_cell": 9.35,
  "cell": [[-2.9416, 2.9416, 11.3991], [2.9416, -2.9416, 11.3991], [2.9416, 2.9416, -11.3991]],
  "species": ["Pr", "Pr", "Y", "Y", "In", "In", "In", "In", "In", "In"],
  "frac_coords": [[0.0000, 0.0000, 0.0000], [0.7500, 0.2500, 0.5000], [0.4213, 0.4213, 0.0000], [0.5787, 0.5787, 0.0000], [0.0017, 0.5017, 0.5000], [0.3749, 0.1269, 0.2480], [0.4983, 0.9983, 0.5000], [0.8731, 0.1211, 0.2480], [0.8731, 0.6251, 0.7520], [0.8789, 0.1269, 0.7520]]
}

***

{
  "formula": "PrY2In2",
  "functional": "PBE-GGA",
  "state": "relaxed",
  "space_group": "P-1, No. 2",
  "delta_e_f_mev_per_atom": -390,
  "dos_at_fermi_per_ev_cell": 10.18,
  "cell": [[5.3363, 0.0000, 0.0000], [0.0020, 6.7397, 0.0000], [0.0075, 2.5716, 8.2066]],
  "species": ["Pr", "Pr", "Y", "Y", "Y", "Y", "In", "In", "In", "In"],
  "frac_coords": [[0.2499, 0.2504, 0.2497], [0.7501, 0.7496, 0.7503], [0.2498, 0.6701, 0.4598], [0.2502, 0.8300, 0.0392], [0.7498, 0.1700, 0.9608], [0.7502, 0.3299, 0.5402], [0.2501, 0.0797, 0.6633], [0.2500, 0.4196, 0.8357], [0.7500, 0.5804, 0.1643], [0.7499, 0.9203, 0.3367]]
}